(1)
# PBE ZnMoPt4, optimized geometry
data_ZnMoPt4
_symmetry_space_group_name_H-M 'P 1'
_symmetry_Int_Tables_number 1
_symmetry_space_group_name_Hall 'P 1'
_cell_length_a 5.238
_cell_length_b 5.238
_cell_length_c 5.238
_cell_angle_alpha 60.00
_cell_angle_beta 60.00
_cell_angle_gamma 60.00
loop_
_atom_site_label
_atom_site_fract_x
_atom_site_fract_y
_atom_site_fract_z
Zn1 0.000 0.000 0.000
Mo1 0.750 0.750 0.750
Pt1 0.375 0.375 0.375
Pt2 0.375 0.375 0.875
Pt3 0.375 0.875 0.375
Pt4 0.875 0.375 0.375
# V, Å³ per cell: 101.6
# Magnetic moment, μB/cell: 2.33
# Space-group type: F-43m, No. 216
# Formation energy from the elements, meV/atom: 143

(2)
# PBE ZnMo4Pt, optimized geometry
data_ZnMo4Pt
_symmetry_space_group_name_H-M 'P 1'
_symmetry_Int_Tables_number 1
_symmetry_space_group_name_Hall 'P 1'
_cell_length_a 5.192
_cell_length_b 5.192
_cell_length_c 5.192
_cell_angle_alpha 60.00
_cell_angle_beta 60.00
_cell_angle_gamma 60.00
loop_
_atom_site_label
_atom_site_fract_x
_atom_site_fract_y
_atom_site_fract_z
Zn1 0.000 0.000 0.000
Mo1 0.121 0.626 0.626
Mo2 0.626 0.121 0.626
Mo3 0.626 0.626 0.121
Mo4 0.626 0.626 0.626
Pt1 0.250 0.250 0.250
# V, Å³ per cell: 99.0
# Magnetic moment, μB/cell: 0.00
# Space-group type: F-43m, No. 216
# Formation energy from the elements, meV/atom: 326

(3)
# PBE ZnMo2Pt, optimized geometry
data_ZnMo2Pt
_symmetry_space_group_name_H-M 'P 1'
_symmetry_Int_Tables_number 1
_symmetry_space_group_name_Hall 'P 1'
_cell_length_a 9.377
_cell_length_b 9.377
_cell_length_c 9.377
_cell_angle_alpha 17.05
_cell_angle_beta 17.05
_cell_angle_gamma 17.05
loop_
_atom_site_label
_atom_site_fract_x
_atom_site_fract_y
_atom_site_fract_z
Zn1 0.000 0.000 0.000
Mo1 0.250 0.250 0.250
Mo2 0.750 0.750 0.750
Pt1 0.500 0.500 0.500
# V, Å³ per cell: 61.8
# Magnetic moment, μB/cell: 0.00
# Space-group type: R-3m, No. 166
# Formation energy from the elements, meV/atom: 57

(4)
# PBE ZnMo2Pt9, optimized geometry
data_ZnMo2Pt9
_symmetry_space_group_name_H-M 'P 1'
_symmetry_Int_Tables_number 1
_symmetry_space_group_name_Hall 'P 1'
_cell_length_a 3.958
_cell_length_b 3.958
_cell_length_c 11.876
_cell_angle_alpha 90.00
_cell_angle_beta 90.00
_cell_angle_gamma 90.00
loop_
_atom_site_label
_atom_site_fract_x
_atom_site_fract_y
_atom_site_fract_z
Zn1 0.000 0.000 0.000
Mo1 0.000 0.000 0.327
Mo2 0.000 0.000 0.673
Pt1 0.000 0.500 0.169
Pt2 0.000 0.500 0.500
Pt3 0.000 0.500 0.831
Pt4 0.500 0.000 0.169
Pt5 0.500 0.000 0.500
Pt6 0.500 0.000 0.831
Pt7 0.500 0.500 0.000
Pt8 0.500 0.500 0.335
Pt9 0.500 0.500 0.665
# V, Å³ per cell: 186.1
# Magnetic moment, μB/cell: 2.38
# Space-group type: P4/mmm, No. 123
# Formation energy from the elements, meV/atom: -276

(5)
# PBE Zn2MoPt, optimized geometry
data_Zn2MoPt
_symmetry_space_group_name_H-M 'P 1'
_symmetry_Int_Tables_number 1
_symmetry_space_group_name_Hall 'P 1'
_cell_length_a 4.385
_cell_length_b 4.385
_cell_length_c 4.385
_cell_angle_alpha 60.00
_cell_angle_beta 60.00
_cell_angle_gamma 60.00
loop_
_atom_site_label
_atom_site_fract_x
_atom_site_fract_y
_atom_site_fract_z
Zn1 0.250 0.250 0.250
Zn2 0.750 0.750 0.750
Mo1 0.000 0.000 0.000
Pt1 0.500 0.500 0.500
# Relative energy among the computed polymorphs, meV per atom: 158
# V, Å³ per cell: 59.6
# Magnetic moment, μB/cell: 2.24
# Space-group type: Fm-3m, No. 225
# Formation energy from the elements, meV/atom: -27

(6)
# PBE ZnMo2Pt, optimized geometry
data_ZnMo2Pt
_symmetry_space_group_name_H-M 'P 1'
_symmetry_Int_Tables_number 1
_symmetry_space_group_name_Hall 'P 1'
_cell_length_a 2.710
_cell_length_b 4.371
_cell_length_c 5.201
_cell_angle_alpha 90.00
_cell_angle_beta 96.20
_cell_angle_gamma 90.00
loop_
_atom_site_label
_atom_site_fract_x
_atom_site_fract_y
_atom_site_fract_z
Zn1 0.000 0.000 0.000
Mo1 0.388 0.000 0.491
Mo2 0.579 0.500 0.224
Pt1 0.961 0.500 0.742
# V, Å³ per cell: 61.2
# Magnetic moment, μB/cell: 0.00
# Space-group type: Pm, No. 6
# Formation energy from the elements, meV/atom: -129

(7)
# PBE ZnMo2Pt, optimized geometry
data_ZnMo2Pt
_symmetry_space_group_name_H-M 'P 1'
_symmetry_Int_Tables_number 1
_symmetry_space_group_name_Hall 'P 1'
_cell_length_a 4.778
_cell_length_b 4.778
_cell_length_c 5.016
_cell_angle_alpha 96.22
_cell_angle_beta 96.22
_cell_angle_gamma 32.74
loop_
_atom_site_label
_atom_site_fract_x
_atom_site_fract_y
_atom_site_fract_z
Zn1 0.000 0.000 0.000
Mo1 0.247 0.247 0.741
Mo2 0.487 0.487 0.502
Pt1 0.749 0.749 0.226
# V, Å³ per cell: 61.5
# Magnetic moment, μB/cell: 0.00
# Space-group type: Cm, No. 8
# Formation energy from the elements, meV/atom: -62

(8)
# PBE ZnMo2Pt, optimized geometry
data_ZnMo2Pt
_symmetry_space_group_name_H-M 'P 1'
_symmetry_Int_Tables_number 1
_symmetry_space_group_name_Hall 'P 1'
_cell_length_a 4.436
_cell_length_b 4.436
_cell_length_c 4.436
_cell_angle_alpha 60.00
_cell_angle_beta 60.00
_cell_angle_gamma 60.00
loop_
_atom_site_label
_atom_site_fract_x
_atom_site_fract_y
_atom_site_fract_z
Zn1 0.000 0.000 0.000
Mo1 0.500 0.500 0.500
Mo2 0.750 0.750 0.750
Pt1 0.250 0.250 0.250
# V, Å³ per cell: 61.7
# Magnetic moment, μB/cell: 0.00
# Space-group type: F-43m, No. 216
# Formation energy from the elements, meV/atom: 42

(9)
# PBE Zn2MoPt2, optimized geometry
data_Zn2MoPt2
_symmetry_space_group_name_H-M 'P 1'
_symmetry_Int_Tables_number 1
_symmetry_space_group_name_Hall 'P 1'
_cell_length_a 7.376
_cell_length_b 7.376
_cell_length_c 2.778
_cell_angle_alpha 90.00
_cell_angle_beta 90.00
_cell_angle_gamma 90.00
loop_
_atom_site_label
_atom_site_fract_x
_atom_site_fract_y
_atom_site_fract_z
Zn1 0.122 0.378 0.000
Zn2 0.378 0.878 0.000
Zn3 0.622 0.122 0.000
Zn4 0.878 0.622 0.000
Mo1 0.000 0.000 0.000
Mo2 0.500 0.500 0.000
Pt1 0.177 0.677 0.500
Pt2 0.323 0.177 0.500
Pt3 0.677 0.823 0.500
Pt4 0.823 0.323 0.500
# Relative energy among the computed polymorphs, meV per atom: 0
# V, Å³ per cell: 151.2
# Magnetic moment, μB/cell: 1.59
# Space-group type: P4/mbm, No. 127
# Formation energy from the elements, meV/atom: -200

(10)
# PBE ZnMo2Pt, optimized geometry
data_ZnMo2Pt
_symmetry_space_group_name_H-M 'P 1'
_symmetry_Int_Tables_number 1
_symmetry_space_group_name_Hall 'P 1'
_cell_length_a 2.700
_cell_length_b 4.032
_cell_length_c 5.644
_cell_angle_alpha 90.00
_cell_angle_beta 90.00
_cell_angle_gamma 90.00
loop_
_atom_site_label
_atom_site_fract_x
_atom_site_fract_y
_atom_site_fract_z
Zn1 0.000 0.000 0.000
Mo1 0.000 0.000 0.501
Mo2 0.500 0.500 0.253
Pt1 0.500 0.500 0.769
# V, Å³ per cell: 61.4
# Magnetic moment, μB/cell: 0.00
# Space-group type: Pmm2, No. 25
# Formation energy from the elements, meV/atom: -67

(11)
# PBE Zn3MoPt12, optimized geometry
data_Zn3MoPt12
_symmetry_space_group_name_H-M 'P 1'
_symmetry_Int_Tables_number 1
_symmetry_space_group_name_Hall 'P 1'
_cell_length_a 3.942
_cell_length_b 3.942
_cell_length_c 15.725
_cell_angle_alpha 90.00
_cell_angle_beta 90.00
_cell_angle_gamma 90.00
loop_
_atom_site_label
_atom_site_fract_x
_atom_site_fract_y
_atom_site_fract_z
Zn1 0.000 0.000 0.000
Zn2 0.000 0.000 0.245
Zn3 0.000 0.000 0.755
Mo1 0.000 0.000 0.500
Pt1 0.000 0.500 0.124
Pt2 0.000 0.500 0.377
Pt3 0.000 0.500 0.623
Pt4 0.000 0.500 0.876
Pt5 0.500 0.000 0.124
Pt6 0.500 0.000 0.377
Pt7 0.500 0.000 0.623
Pt8 0.500 0.000 0.876
Pt9 0.500 0.500 0.000
Pt10 0.500 0.500 0.250
Pt11 0.500 0.500 0.500
Pt12 0.500 0.500 0.750
# V, Å³ per cell: 244.3
# Magnetic moment, μB/cell: 0.00
# Space-group type: P4/mmm, No. 123
# Formation energy from the elements, meV/atom: -343

(12)
# PBE Zn4MoPt5, optimized geometry
data_Zn4MoPt5
_symmetry_space_group_name_H-M 'P 1'
_symmetry_Int_Tables_number 1
_symmetry_space_group_name_Hall 'P 1'
_cell_length_a 2.825
_cell_length_b 2.825
_cell_length_c 18.538
_cell_angle_alpha 90.00
_cell_angle_beta 90.00
_cell_angle_gamma 90.00
loop_
_atom_site_label
_atom_site_fract_x
_atom_site_fract_y
_atom_site_fract_z
Zn1 0.000 0.000 0.098
Zn2 0.000 0.000 0.294
Zn3 0.000 0.000 0.706
Zn4 0.000 0.000 0.902
Mo1 0.000 0.000 0.500
Pt1 0.500 0.500 0.000
Pt2 0.500 0.500 0.196
Pt3 0.500 0.500 0.395
Pt4 0.500 0.500 0.605
Pt5 0.500 0.500 0.804
# V, Å³ per cell: 148.0
# Magnetic moment, μB/cell: 0.00
# Space-group type: P4/mmm, No. 123
# Formation energy from the elements, meV/atom: -505